# Ac2TiBi, relaxed, DFT PBE-GGA
# Total DFT energy (no corrections)   -20.4 eV per formula unit
# Volume   135.3 Å³/cell
# M_tot   2.9 μB/cell
data_Ac2TiBi
_cell_length_a 5.522
_cell_length_b 5.522
_cell_length_c 4.436
_cell_angle_alpha 90.00
_cell_angle_beta 90.00
_cell_angle_gamma 90.00
_symmetry_space_group_name_H-M 'P 4/m m m'
_symmetry_Int_Tables_number 123
_symmetry_space_group_name_Hall '-P 4 2'
loop_
_atom_site_label
_atom_site_fract_x
_atom_site_fract_y
_atom_site_fract_z
_atom_site_occupancy
Ac1 0.000 0.500 0.000 1
Ti1 0.000 0.000 0.500 1
Bi1 0.500 0.500 0.500 1